Computed, not measured: crystalline Ca2MgZn at its relaxed geometry at the PBE level of DFT.

abc: 6.199 6.199 6.199
angles: 135.60 135.60 64.61
Fractional positions:
Ca: 0.000 0.000 0.000
Ca: 0.250 0.750 0.500
Zn: 0.750 0.250 0.500
Mg: 0.500 0.500 0.000

## Properties
Energy relative to the lowest polymorph listed for this composition (meV per atom): 154
Crystal system: tetragonal
Density (g/cm3): 2.45
DFT total energy (Ha/atom): -0.0635
DOS at the Fermi energy (states/eV/cell): 3.5
M_tot (μB/atom): 0.00
ΔE_f (eV per atom): -0.009
Space group: I-4m2 (119)